First-principles (GGA+U) data for crystalline Zn11CuMo12O48 at its relaxed geometry, as listed in Alexandria via LeMat-Bulk.

Results
Density   4.1 Mg/m³
Uncorrected energy   -6.254 eV per atom
SG   P1, No. 1

Unit cell a=9.8810 b=10.3561 c=12.0980 alpha=114.36 beta=101.02 gamma=93.83
Closest atoms and distances in Å follow each position.
Sites, in units of the cell vectors:
Zn  0.0000  0.0000  0.0000  6 O 2.06-2.23
Zn  0.0324  0.1792  0.6501  6 O 2.05-2.21
Zn  0.0861  0.3760  0.5096  5 O 1.97-2.13
Zn  0.1382  0.5753  0.1456  5 O 2.03-2.13
Zn  0.3884  0.5997  0.9990  5 O 2.02-2.15
Zn  0.4463  0.8004  0.6392  5 O 1.96-2.17
Zn  0.4994  0.9979  0.4997  6 O 2.06-2.20
Zn  0.5341  0.1790  0.1487  6 O 2.07-2.17
Zn  0.5882  0.3748  0.0084  5 O 1.95-2.14
Zn  0.6435  0.5738  0.6512  5 O 2.01-2.19
Zn  0.8892  0.6022  0.4996  5 O 2.00-2.15
Cu  0.9508  0.8287  0.1582  4 O 1.91-2.00
Mo  0.1465  0.8462  0.4418  4 O 1.75-1.88
Mo  0.1724  0.7149  0.7728  4 O 1.78-1.85
Mo  0.2495  0.2495  0.9537  4 O 1.76-1.84
Mo  0.2863  0.9259  0.1949  4 O 1.76-1.85
Mo  0.3577  0.4664  0.3744  4 O 1.78-1.85
Mo  0.3844  0.3303  0.7039  4 O 1.76-1.85
Mo  0.6522  0.8434  0.9468  4 O 1.75-1.86
Mo  0.6713  0.7121  0.2716  4 O 1.78-1.85
Mo  0.7473  0.2491  0.4539  4 O 1.76-1.84
Mo  0.7840  0.9251  0.6971  4 O 1.76-1.85
Mo  0.8617  0.4625  0.8745  4 O 1.79-1.81
Mo  0.8846  0.3322  0.2061  4 O 1.76-1.86
O  0.0485  0.7331  0.4840  1 Mo 1.76
O  0.0538  0.5747  0.6293  1 Mo 1.85, 1 Zn 2.06
O  0.0797  0.8432  0.8637  1 Mo 1.78
O  0.0955  0.7778  0.2672  1 Mo 1.88, 1 Cu 2.00
O  0.1001  0.0173  0.5093  1 Mo 1.75
O  0.1032  0.9422  0.1384  1 Mo 1.85, 1 Cu 1.96
O  0.1461  0.1607  0.0132  1 Mo 1.76
O  0.1894  0.1690  0.7876  1 Mo 1.78
O  0.1994  0.3230  0.6393  1 Mo 1.83, 1 Zn 2.03
O  0.2288  0.3752  0.4154  1 Mo 1.80, 1 Zn 1.97
O  0.2318  0.4387  0.0190  1 Mo 1.82, 1 Zn 2.03
O  0.2577  0.6286  0.8597  1 Mo 1.78
O  0.2705  0.5566  0.2914  1 Mo 1.78
O  0.3025  0.8041  0.7313  1 Mo 1.80, 1 Zn 1.96
O  0.3069  0.7380  0.1330  1 Mo 1.82, 1 Zn 2.02
O  0.3311  0.8529  0.5064  1 Mo 1.83
O  0.3425  0.0081  0.3613  1 Mo 1.78
O  0.3888  0.0167  0.1365  1 Mo 1.76
O  0.4300  0.4052  0.8769  1 Mo 1.85, 1 Zn 2.07
O  0.4314  0.1585  0.6411  1 Mo 1.76
O  0.4319  0.2297  0.0046  1 Mo 1.84, 1 Zn 2.06
O  0.4488  0.3393  0.2799  1 Mo 1.78
O  0.4781  0.6035  0.5187  1 Mo 1.85, 1 Zn 2.05
O  0.4824  0.4414  0.6596  1 Mo 1.76
O  0.5509  0.7324  0.9888  1 Mo 1.76
O  0.5522  0.5715  0.1289  1 Mo 1.85, 1 Zn 2.06
O  0.5793  0.8409  0.3636  1 Mo 1.78
O  0.6017  0.0132  0.0082  1 Mo 1.75
O  0.6017  0.9426  0.6417  1 Mo 1.85, 1 Zn 2.04
O  0.6057  0.7709  0.7734  1 Mo 1.86, 1 Zn 2.08
O  0.6454  0.1586  0.5132  1 Mo 1.76
O  0.6864  0.1685  0.2878  1 Mo 1.78
O  0.6992  0.3216  0.1402  1 Mo 1.83, 1 Zn 2.05
O  0.7271  0.4376  0.5186  1 Mo 1.82, 1 Zn 2.01
O  0.7323  0.3737  0.9179  1 Mo 1.80, 1 Zn 1.95
O  0.7559  0.6254  0.3586  1 Mo 1.78
O  0.7764  0.5569  0.7942  1 Mo 1.79
O  0.8016  0.7997  0.2292  1 Mo 1.80, 1 Cu 1.91
O  0.8044  0.7368  0.6313  1 Mo 1.82, 1 Zn 2.00
O  0.8376  0.8572  0.0206  1 Mo 1.85, 1 Cu 1.96
O  0.8413  0.0047  0.8640  1 Mo 1.79
O  0.8883  0.0152  0.6397  1 Mo 1.76
O  0.9283  0.4063  0.3792  1 Mo 1.86, 1 Zn 2.07
O  0.9300  0.2299  0.5041  1 Mo 1.84, 1 Zn 2.06
O  0.9349  0.1620  0.1439  1 Mo 1.76
O  0.9489  0.3323  0.7767  1 Mo 1.79
O  0.9816  0.4457  0.1636  1 Mo 1.76
O  0.9858  0.5947  0.0129  1 Mo 1.81